An optimized crystal structure of Cd2CoPb, computed with GGA-PBE.

a = 3.0323 Å, b = 4.4064 Å, c = 12.6940 Å
α = 90.00°, β = 90.00°, γ = 90.00°
Fractional coordinates of all 8 atoms:
Cd1 0.0000 0.0000 0.1885
Cd2 0.0000 0.0000 0.8115
Cd3 0.5000 0.5000 0.3115
Cd4 0.5000 0.5000 0.6885
Co1 0.0000 0.5000 0.5000
Co2 0.5000 0.0000 0.0000
Pb1 0.0000 0.5000 0.0000
Pb2 0.5000 0.0000 0.5000

Output
DFT formation energy ... 0.244 eV per atom
Crystal system ... orthorhombic

---

An optimized crystal structure of Li4CeDy3Te8, computed with GGA-PBE.

a = 8.6875 Å, b = 8.6875 Å, c = 8.6875 Å
α = 60.47°, β = 60.47°, γ = 60.47°
Fractional coordinates of all 16 atoms:
Li1 0.0000 0.0000 0.0000
Li2 0.0000 0.5000 0.5000
Li3 0.5000 0.0000 0.5000
Li4 0.5000 0.5000 0.0000
Ce1 0.5000 0.5000 0.5000
Dy1 0.0000 0.0000 0.5000
Dy2 0.0000 0.5000 0.0000
Dy3 0.5000 0.0000 0.0000
Te1 0.2439 0.2439 0.7544
Te2 0.2439 0.7544 0.2439
Te3 0.2456 0.7561 0.7561
Te4 0.2514 0.2514 0.2514
Te5 0.7486 0.7486 0.7486
Te6 0.7544 0.2439 0.2439
Te7 0.7561 0.2456 0.7561
Te8 0.7561 0.7561 0.2456

Output
ΔE_f (raw) ... -29.31 kcal/mol of atoms
Crystal system ... trigonal

---

An optimized crystal structure of SrLaPrY, computed with GGA-PBE.

a = 8.5240 Å, b = 8.5240 Å, c = 8.5240 Å
α = 90.00°, β = 90.00°, γ = 90.00°
Fractional coordinates of all 16 atoms:
Sr1 0.0000 0.0000 0.0000
Sr2 0.0000 0.5000 0.5000
Sr3 0.5000 0.0000 0.5000
Sr4 0.5000 0.5000 0.0000
La1 0.2500 0.2500 0.2500
La2 0.2500 0.7500 0.7500
La3 0.7500 0.2500 0.7500
La4 0.7500 0.7500 0.2500
Pr1 0.2500 0.2500 0.7500
Pr2 0.2500 0.7500 0.2500
Pr3 0.7500 0.2500 0.2500
Pr4 0.7500 0.7500 0.7500
Y1 0.0000 0.0000 0.5000
Y2 0.0000 0.5000 0.0000
Y3 0.5000 0.0000 0.0000
Y4 0.5000 0.5000 0.5000

Output
DFT formation energy ... 0.187 eV per atom
Crystal system ... cubic

---

An optimized crystal structure of Hf2MoAs, computed with GGA-PBE.

a = 2.9997 Å, b = 2.9997 Å, c = 29.9560 Å
α = 90.00°, β = 90.00°, γ = 120.00°
Fractional coordinates of all 12 atoms:
Hf1 0.0000 0.0000 0.0896
Hf2 0.0000 0.0000 0.9104
Hf3 0.3333 0.6667 0.5771
Hf4 0.3333 0.6667 0.7562
Hf5 0.6667 0.3333 0.2438
Hf6 0.6667 0.3333 0.4229
Mo1 0.0000 0.0000 0.0000
Mo2 0.3333 0.6667 0.6667
Mo3 0.6667 0.3333 0.3333
As1 0.0000 0.0000 0.5000
As2 0.3333 0.6667 0.1667
As3 0.6667 0.3333 0.8333

Output
DFT formation energy ... 0.290 eV per atom
Crystal system ... trigonal

---

An optimized crystal structure of Ti2Tc2I, computed with GGA-PBE.

a = 7.4468 Å, b = 7.4468 Å, c = 3.2250 Å
α = 90.00°, β = 90.00°, γ = 90.00°
Fractional coordinates of all 10 atoms:
Ti1 0.1406 0.3594 0.0000
Ti2 0.3594 0.8594 0.0000
Ti3 0.6406 0.1406 0.0000
Ti4 0.8594 0.6406 0.0000
Tc1 0.1406 0.6406 0.5000
Tc2 0.3594 0.1406 0.5000
Tc3 0.6406 0.8594 0.5000
Tc4 0.8594 0.3594 0.5000
I1 0.0000 0.0000 0.5000
I2 0.5000 0.5000 0.5000

Output
ΔE_f (raw) ... 6.76 kcal/mol of atoms
E above lowest polymorph ... 0.00 eV/f.u.
Crystal system ... tetragonal

---

An optimized crystal structure of TiZnHAu2, computed with GGA-PBE.

a = 4.5153 Å, b = 4.5153 Å, c = 3.5084 Å
α = 90.00°, β = 90.00°, γ = 90.00°
Fractional coordinates of all 5 atoms:
Ti1 0.0000 0.0000 0.0000
Zn1 0.5000 0.5000 0.0000
H1 0.0000 0.0000 0.5000
Au1 0.0000 0.5000 0.5000
Au2 0.5000 0.0000 0.5000

Output
Raw total energy ... -3.9054 eV per atom
Crystal system ... tetragonal

---

An optimized crystal structure of Ca2BBr2N2, computed with GGA-PBE.

a = 9.7485 Å, b = 4.0799 Å, c = 7.4644 Å
α = 90.00°, β = 98.20°, γ = 90.00°
Fractional coordinates of all 14 atoms:
Ca1 0.1897 0.0000 0.2897
Ca2 0.3103 0.5000 0.7103
Ca3 0.6897 0.5000 0.2897
Ca4 0.8103 0.0000 0.7103
B1 0.0000 0.5000 0.5000
B2 0.5000 0.0000 0.5000
Br1 0.1242 0.0000 0.8528
Br2 0.3758 0.5000 0.1472
Br3 0.6242 0.5000 0.8528
Br4 0.8758 0.0000 0.1472
N1 0.1242 0.5000 0.4419
N2 0.3758 0.0000 0.5581
N3 0.6242 0.0000 0.4419
N4 0.8758 0.5000 0.5581

Output
ΔE_f (raw) ... -28.15 kcal/mol of atoms
Crystal system ... monoclinic

---

An optimized crystal structure of Y2Hg2Bi, computed with GGA-PBE.

a = 8.3206 Å, b = 8.3206 Å, c = 3.9656 Å
α = 90.00°, β = 90.00°, γ = 90.00°
Fractional coordinates of all 10 atoms:
Y1 0.1682 0.3318 0.0000
Y2 0.3318 0.8318 0.0000
Y3 0.6682 0.1682 0.0000
Y4 0.8318 0.6682 0.0000
Hg1 0.1283 0.6283 0.5000
Hg2 0.3717 0.1283 0.5000
Hg3 0.6283 0.8717 0.5000
Hg4 0.8717 0.3717 0.5000
Bi1 0.0000 0.0000 0.5000
Bi2 0.5000 0.5000 0.5000

Output
E above lowest polymorph ... 0.00 eV/f.u.
DFT formation energy ... -0.463 eV per atom
Crystal system ... tetragonal

---

An optimized crystal structure of Ba8Zn2Pd, computed with GGA-PBE.

a = 11.0836 Å, b = 11.0836 Å, c = 7.9671 Å
α = 103.48°, β = 103.48°, γ = 30.74°
Fractional coordinates of all 11 atoms:
Ba1 0.0376 0.0376 0.3066
Ba2 0.2129 0.2129 0.8259
Ba3 0.3400 0.3400 0.5349
Ba4 0.4117 0.4117 0.0884
Ba5 0.5883 0.5883 0.9116
Ba6 0.6600 0.6600 0.4651
Ba7 0.7871 0.7871 0.1741
Ba8 0.9624 0.9624 0.6934
Zn1 0.1912 0.1912 0.2336
Zn2 0.8088 0.8088 0.7664
Pd1 0.5000 0.5000 0.5000

Output
E above lowest polymorph ... 0.12 eV/f.u.
DFT formation energy ... -0.115 eV per atom
Crystal system ... monoclinic

---

An optimized crystal structure of CrIn2Si, computed with GGA-PBE.

a = 3.1368 Å, b = 3.1368 Å, c = 8.0546 Å
α = 90.00°, β = 90.00°, γ = 90.00°
Fractional coordinates of all 4 atoms:
Cr1 0.0000 0.0000 0.0000
In1 0.0000 0.0000 0.5948
In2 0.5000 0.5000 0.2455
Si1 0.5000 0.5000 0.8756

Output
ΔE_f (raw) ... 5.14 kcal/mol of atoms
E above lowest polymorph ... 0.00 eV/f.u.
Crystal system ... tetragonal

---

An optimized crystal structure of DyEr2H, computed with GGA-PBE.

a = 3.3235 Å, b = 3.3235 Å, c = 8.3859 Å
α = 90.00°, β = 90.00°, γ = 90.00°
Fractional coordinates of all 4 atoms:
Dy1 0.0000 0.0000 0.0000
Er1 0.5000 0.5000 0.3074
Er2 0.5000 0.5000 0.6926
H1 0.0000 0.0000 0.5000

Output
E above lowest polymorph ... 1.26 eV/f.u.
Crystal system ... tetragonal

---

An optimized crystal structure of NbFeCu2, computed with GGA-PBE.

a = 3.4585 Å, b = 3.4585 Å, c = 18.7177 Å
α = 90.00°, β = 90.00°, γ = 90.00°
Fractional coordinates of all 16 atoms:
Nb1 0.0000 0.0000 0.0000
Nb2 0.0000 0.5000 0.2500
Nb3 0.5000 0.0000 0.7500
Nb4 0.5000 0.5000 0.5000
Fe1 0.0000 0.0000 0.5000
Fe2 0.0000 0.5000 0.7500
Fe3 0.5000 0.0000 0.2500
Fe4 0.5000 0.5000 0.0000
Cu1 0.2336 0.2500 0.6250
Cu2 0.2500 0.7336 0.8750
Cu3 0.2500 0.7664 0.3750
Cu4 0.2664 0.2500 0.1250
Cu5 0.7336 0.7500 0.1250
Cu6 0.7500 0.2336 0.3750
Cu7 0.7500 0.2664 0.8750
Cu8 0.7664 0.7500 0.6250

Output
E above lowest polymorph ... 0.29 eV/f.u.
DFT formation energy ... 0.422 eV per atom
Crystal system ... tetragonal

---

An optimized crystal structure of MgFeAgSe2, computed with GGA-PBE.

a = 4.9670 Å, b = 4.9670 Å, c = 4.9341 Å
α = 90.00°, β = 90.00°, γ = 90.00°
Fractional coordinates of all 5 atoms:
Mg1 0.0000 0.0000 0.0000
Fe1 0.5000 0.5000 0.5000
Ag1 0.0000 0.0000 0.5000
Se1 0.0000 0.5000 0.0000
Se2 0.5000 0.0000 0.0000

Output
ΔE_f (raw) ... 14.90 kcal/mol of atoms
Crystal system ... tetragonal

---

An optimized crystal structure of Ca2Br3, computed with GGA-PBE.

a = 8.4956 Å, b = 8.4956 Å, c = 8.4956 Å
α = 49.81°, β = 49.81°, γ = 49.81°
Fractional coordinates of all 10 atoms:
Ca1 0.1606 0.1606 0.1606
Ca2 0.3394 0.3394 0.3394
Ca3 0.6606 0.6606 0.6606
Ca4 0.8394 0.8394 0.8394
Br1 0.0603 0.7500 0.4397
Br2 0.2500 0.5603 0.9397
Br3 0.4397 0.0603 0.7500
Br4 0.5603 0.9397 0.2500
Br5 0.7500 0.4397 0.0603
Br6 0.9397 0.2500 0.5603

Output
ΔE_f (raw) ... -37.87 kcal/mol of atoms
Crystal system ... trigonal

---

An optimized crystal structure of AcTb7Ho4, computed with GGA-PBE.

a = 6.8228 Å, b = 6.8228 Å, c = 12.5472 Å
α = 115.61°, β = 115.61°, γ = 52.57°
Fractional coordinates of all 12 atoms:
Ac1 0.0000 0.0000 0.0000
Tb1 0.0527 0.0527 0.3437
Tb2 0.2156 0.2156 0.9189
Tb3 0.3663 0.3663 0.4920
Tb4 0.5000 0.5000 0.0000
Tb5 0.6337 0.6337 0.5080
Tb6 0.7844 0.7844 0.0811
Tb7 0.9473 0.9473 0.6563
Ho1 0.2589 0.2589 0.6848
Ho2 0.3741 0.3741 0.2246
Ho3 0.6259 0.6259 0.7754
Ho4 0.7411 0.7411 0.3152

Output
E above lowest polymorph ... 3.53 eV/f.u.
DFT formation energy ... 0.306 eV per atom
Crystal system ... monoclinic

---

An optimized crystal structure of SiOsBr, computed with GGA-PBE.

a = 6.0134 Å, b = 6.0134 Å, c = 6.0134 Å
α = 90.00°, β = 90.00°, γ = 90.00°
Fractional coordinates of all 12 atoms:
Si1 0.0000 0.0000 0.0000
Si2 0.0000 0.5000 0.5000
Si3 0.5000 0.0000 0.5000
Si4 0.5000 0.5000 0.0000
Os1 0.2500 0.2500 0.7500
Os2 0.2500 0.7500 0.2500
Os3 0.7500 0.2500 0.2500
Os4 0.7500 0.7500 0.7500
Br1 0.0000 0.0000 0.5000
Br2 0.0000 0.5000 0.0000
Br3 0.5000 0.0000 0.0000
Br4 0.5000 0.5000 0.5000

Output
ΔE_f (raw) ... 15.36 kcal/mol of atoms
E above lowest polymorph ... 1.13 eV/f.u.
Crystal system ... cubic

---

An optimized crystal structure of BeSb2Ru, computed with GGA-PBE.

a = 3.8733 Å, b = 3.8733 Å, c = 18.7423 Å
α = 90.00°, β = 90.00°, γ = 120.00°
Fractional coordinates of all 12 atoms:
Be1 0.0000 0.0000 0.0000
Be2 0.3333 0.6667 0.6667
Be3 0.6667 0.3333 0.3333
Sb1 0.0000 0.0000 0.5763
Sb2 0.0000 0.0000 0.7556
Sb3 0.3333 0.6667 0.2430
Sb4 0.3333 0.6667 0.4222
Sb5 0.6667 0.3333 0.0889
Sb6 0.6667 0.3333 0.9096
Ru1 0.0000 0.0000 0.3329
Ru2 0.3333 0.6667 0.9995
Ru3 0.6667 0.3333 0.6662

Output
ΔE_f (raw) ... -1.35 kcal/mol of atoms
E above lowest polymorph ... 0.04 eV/f.u.
Crystal system ... trigonal

---

An optimized crystal structure of In8AgHg4, computed with GGA-PBE.

a = 6.8643 Å, b = 6.9038 Å, c = 7.6437 Å
α = 85.66°, β = 89.56°, γ = 87.96°
Fractional coordinates of all 13 atoms:
In1 0.2380 0.2502 0.2470
In2 0.2391 0.7491 0.7432
In3 0.2570 0.2583 0.7498
In4 0.2590 0.7464 0.2608
In5 0.7410 0.2536 0.7392
In6 0.7430 0.7417 0.2502
In7 0.7609 0.2509 0.2568
In8 0.7620 0.7498 0.7530
Ag1 0.5000 0.0000 0.0000
Hg1 0.0000 0.0000 0.0000
Hg2 0.0000 0.5000 0.5000
Hg3 0.5000 0.0000 0.5000
Hg4 0.5000 0.5000 0.0000

Output
DFT formation energy ... 0.053 eV per atom
Crystal system ... triclinic

---

An optimized crystal structure of HoIn4Ni, computed with GGA-PBE.

a = 4.4037 Å, b = 7.3803 Å, c = 8.5138 Å
α = 90.00°, β = 104.83°, γ = 90.00°
Fractional coordinates of all 12 atoms:
Ho1 0.1256 0.2500 0.2498
Ho2 0.8744 0.7500 0.7502
In1 0.0698 0.7500 0.1407
In2 0.3135 0.0479 0.6276
In3 0.3135 0.4521 0.6276
In4 0.5000 0.0000 0.0000
In5 0.5000 0.5000 0.0000
In6 0.6865 0.5479 0.3724
In7 0.6865 0.9521 0.3724
In8 0.9302 0.2500 0.8593
Ni1 0.2292 0.7500 0.4578
Ni2 0.7708 0.2500 0.5422

Output
DFT formation energy ... -0.293 eV per atom
Crystal system ... monoclinic

---

An optimized crystal structure of Ga2PdRu, computed with GGA-PBE.

a = 3.0879 Å, b = 3.0879 Å, c = 6.0281 Å
α = 90.00°, β = 90.00°, γ = 90.00°
Fractional coordinates of all 4 atoms:
Ga1 0.0000 0.0000 0.2359
Ga2 0.0000 0.0000 0.7641
Pd1 0.5000 0.5000 0.5000
Ru1 0.5000 0.5000 0.0000

Output
DFT formation energy ... -0.496 eV per atom
Crystal system ... tetragonal

---

An optimized crystal structure of Bi2Rh2Pb, computed with GGA-PBE.

a = 4.9319 Å, b = 4.9319 Å, c = 10.2140 Å
α = 90.00°, β = 90.00°, γ = 90.00°
Fractional coordinates of all 10 atoms:
Bi1 0.0000 0.5000 0.2500
Bi2 0.0000 0.5000 0.7500
Bi3 0.5000 0.0000 0.2500
Bi4 0.5000 0.0000 0.7500
Rh1 0.0000 0.0000 0.1254
Rh2 0.0000 0.0000 0.8746
Rh3 0.5000 0.5000 0.3746
Rh4 0.5000 0.5000 0.6254
Pb1 0.0000 0.0000 0.5000
Pb2 0.5000 0.5000 0.0000

Output
E above lowest polymorph ... 1.15 eV/f.u.
DFT formation energy ... 0.127 eV per atom
Crystal system ... tetragonal

---

An optimized crystal structure of Hf3IrRh2, computed with GGA-PBE.

a = 4.6201 Å, b = 4.6201 Å, c = 5.6924 Å
α = 90.00°, β = 90.00°, γ = 120.00°
Fractional coordinates of all 6 atoms:
Hf1 0.0000 0.0000 0.0000
Hf2 0.3333 0.6667 0.6643
Hf3 0.6667 0.3333 0.3357
Ir1 0.0000 0.0000 0.5000
Rh1 0.3333 0.6667 0.1549
Rh2 0.6667 0.3333 0.8451

Output
E above lowest polymorph ... 0.00 eV/f.u.
DFT formation energy ... -0.899 eV per atom
Crystal system ... trigonal

---

An optimized crystal structure of TeRhPbN2, computed with GGA-PBE.

a = 4.2593 Å, b = 4.2593 Å, c = 6.3696 Å
α = 90.00°, β = 90.00°, γ = 90.00°
Fractional coordinates of all 5 atoms:
Te1 0.0000 0.0000 0.0000
Rh1 0.5000 0.5000 0.0000
Pb1 0.0000 0.0000 0.5000
N1 0.0000 0.5000 0.5000
N2 0.5000 0.0000 0.5000

Output
ΔE_f (raw) ... 44.14 kcal/mol of atoms
E above lowest polymorph ... 3.96 eV/f.u.
Crystal system ... tetragonal

---

An optimized crystal structure of VInNiRh, computed with GGA-PBE.

a = 6.1941 Å, b = 6.1941 Å, c = 6.1941 Å
α = 90.00°, β = 90.00°, γ = 90.00°
Fractional coordinates of all 16 atoms:
V1 0.0000 0.0000 0.0000
V2 0.0000 0.5000 0.5000
V3 0.5000 0.0000 0.5000
V4 0.5000 0.5000 0.0000
In1 0.0000 0.0000 0.5000
In2 0.0000 0.5000 0.0000
In3 0.5000 0.0000 0.0000
In4 0.5000 0.5000 0.5000
Ni1 0.2500 0.2500 0.7500
Ni2 0.2500 0.7500 0.2500
Ni3 0.7500 0.2500 0.2500
Ni4 0.7500 0.7500 0.7500
Rh1 0.2500 0.2500 0.2500
Rh2 0.2500 0.7500 0.7500
Rh3 0.7500 0.2500 0.7500
Rh4 0.7500 0.7500 0.2500

Output
DFT formation energy ... -0.141 eV per atom
Crystal system ... cubic

---

An optimized crystal structure of MgMn2Br, computed with GGA-PBE.

a = 3.1465 Å, b = 4.6651 Å, c = 11.6283 Å
α = 90.00°, β = 90.00°, γ = 90.00°
Fractional coordinates of all 8 atoms:
Mg1 0.0000 0.0000 0.0000
Mg2 0.5000 0.5000 0.5000
Mn1 0.0000 0.0000 0.5427
Mn2 0.0000 0.5000 0.8566
Mn3 0.5000 0.0000 0.3566
Mn4 0.5000 0.5000 0.0427
Br1 0.0000 0.5000 0.2275
Br2 0.5000 0.0000 0.7275

Output
ΔE_f (raw) ... 8.19 kcal/mol of atoms
E above lowest polymorph ... 0.53 eV/f.u.
Crystal system ... orthorhombic

---

An optimized crystal structure of Tb3PrS, computed with GGA-PBE.

a = 5.3610 Å, b = 5.3610 Å, c = 5.3610 Å
α = 90.00°, β = 90.00°, γ = 90.00°
Fractional coordinates of all 5 atoms:
Tb1 0.0000 0.0000 0.5000
Tb2 0.0000 0.5000 0.0000
Tb3 0.5000 0.0000 0.0000
Pr1 0.5000 0.5000 0.5000
S1 0.0000 0.0000 0.0000

Output
ΔE_f (raw) ... -15.47 kcal/mol of atoms
Crystal system ... cubic

---

Which density of states at the Fermi level belongs to each record? In order, 4.73; 8.41; 25.59; 8.66; 10.57; 2.38; 4.98; 6.71; 14.38; 2.35; 3.83; 12.35; 4.03; 7.44; 19.82; 11.41; 7.83; 3.81; 4.10; 0.51; 7.39; 5.38; 3.57; 19.50; 4.94; 8.32 states/eV/cell.
Which calculated volume belongs to each record? In order, 21.2; 29.3; 38.7; 19.5; 17.9; 14.3; 21.0; 27.5; 44.1; 19.8; 23.2; 14.0; 24.3; 32.9; 33.9; 18.1; 20.3; 27.8; 22.3; 14.4; 24.8; 17.5; 23.1; 14.9; 21.3; 30.8 Å³/atom.